<A>
K2InPb: PBEsol geometry, SCAN.

Cell and atoms, written as CIF:
```
data_K2InPb
_cell_length_a 8.0189
_cell_length_b 8.0189
_cell_length_c 8.0189
_cell_angle_alpha 90.00
_cell_angle_beta 90.00
_cell_angle_gamma 90.00
_space_group_name_H-M_alt 'F -4 3 m'
_space_group_IT_number 216
_space_group_name_Hall 'F -4 2 3'
loop_
_atom_site_label
_atom_site_type_symbol
_atom_site_fract_x
_atom_site_fract_y
_atom_site_fract_z
K1 K 0.0000 0.0000 0.0000
K2 K 0.2500 0.2500 0.2500
In1 In 0.2500 0.2500 0.7500
Pb1 Pb 0.0000 0.0000 0.5000
```



<B>
K2InPb: PBEsol geometry, SCAN.

Cell and atoms, written as CIF:
```
data_K2InPb
_cell_length_a 3.7852
_cell_length_b 5.1862
_cell_length_c 7.2655
_cell_angle_alpha 90.00
_cell_angle_beta 103.41
_cell_angle_gamma 90.00
_space_group_name_H-M_alt 'P 1 m 1'
_space_group_IT_number 6
loop_
_space_group_symop_operation_xyz
'x,y,z'
'x,-y,z'
loop_
_atom_site_label
_atom_site_type_symbol
_atom_site_fract_x
_atom_site_fract_y
_atom_site_fract_z
K1 K 0.0000 0.0000 0.0000
K2 K 0.2957 0.5000 0.6611
In1 In 0.6957 0.0000 0.4485
Pb1 Pb 0.6013 0.5000 0.2150
```



Preferred: <A>; penalty for the next structure: 21 meV per atom.



<A>
KIn2Re: PBEsol geometry, SCAN.

Cell and atoms, written as CIF:
```
data_KIn2Re
_cell_length_a 2.9148
_cell_length_b 4.6028
_cell_length_c 8.1137
_cell_angle_alpha 90.00
_cell_angle_beta 90.09
_cell_angle_gamma 90.00
_space_group_name_H-M_alt 'P 1 m 1'
_space_group_IT_number 6
loop_
_space_group_symop_operation_xyz
'x,y,z'
'x,-y,z'
loop_
_atom_site_label
_atom_site_type_symbol
_atom_site_fract_x
_atom_site_fract_y
_atom_site_fract_z
K1 K 0.0000 0.0000 0.0000
In1 In 0.4980 0.0000 0.3850
In2 In 0.5000 0.5000 0.6873
Re1 Re 0.9981 0.5000 0.3962
```



<B>
KIn2Re: PBEsol geometry, SCAN.

Cell and atoms, written as CIF:
```
data_KIn2Re
_cell_length_a 9.0920
_cell_length_b 2.8504
_cell_length_c 7.3773
_cell_angle_alpha 90.00
_cell_angle_beta 94.74
_cell_angle_gamma 90.00
_space_group_name_H-M_alt 'C 1 2/m 1'
_space_group_IT_number 12
loop_
_space_group_symop_operation_xyz
'x,y,z'
'-x,-y,-z'
'-x,y,-z'
'x,-y,z'
'x+1/2,y+1/2,z'
'-x+1/2,-y+1/2,-z'
'-x+1/2,y+1/2,-z'
'x+1/2,-y+1/2,z'
loop_
_atom_site_label
_atom_site_type_symbol
_atom_site_fract_x
_atom_site_fract_y
_atom_site_fract_z
K1 K 0.0000 0.0000 0.0000
In1 In 0.2366 0.0000 0.6848
Re1 Re 0.0000 0.5000 0.5000
```



<C>
KIn2Re: PBEsol geometry, SCAN.

Cell and atoms, written as CIF:
```
data_KIn2Re
_cell_length_a 3.1064
_cell_length_b 3.1064
_cell_length_c 31.1279
_cell_angle_alpha 90.00
_cell_angle_beta 90.00
_cell_angle_gamma 120.00
_space_group_name_H-M_alt 'R -3 m'
_space_group_IT_number 166
_space_group_name_Hall '-R 3 2"'
loop_
_atom_site_label
_atom_site_type_symbol
_atom_site_fract_x
_atom_site_fract_y
_atom_site_fract_z
K1 K 0.0000 0.0000 0.0000
In1 In 0.0000 0.0000 0.2374
Re1 Re 0.0000 0.0000 0.5000
```



Preferred: <A>; penalty for the next structure: 67 meV per atom.